(1)
Here is ZnTe2SeCl after structural relaxation from Alexandria via LeMat-Bulk. Energies are from PBE.

## Properties
Calculated total energy (eV/atom): -2.18
Formation energy (no corrections) (kcal/mol of atoms): 9.066
Symmetry: P4/mmm, No. 123
Total magnetic moment (μB/f.u.): 0.0

POSCAR file:
```
ZnTe2SeCl
1.0
-4.589 0.185 -3.065
1.497 -4.195 -2.495
-2.609 -3.141 3.716
Cl Se Zn Te
1 1 1 2
direct
0.500 0.500 0.500
0.000 0.000 0.000
0.000 0.500 0.000
0.500 0.000 0.000
0.000 0.000 0.500
```


(2)
Here is ThSeCl3 after structural relaxation from Alexandria via LeMat-Bulk. Energies are from PBE.

## Properties
Calculated total energy (eV/atom): -5.10
Formation energy (no corrections) (kcal/mol of atoms): -41.850
Symmetry: P2/c, No. 13
Total magnetic moment (μB/f.u.): 0.0

POSCAR file:
```
ThSeCl3
1.0
-6.225 3.509 0.427
-2.705 -4.081 -5.892
-2.928 -10.723 8.771
Th Cl Se
4 12 4
direct
0.901 0.360 0.365
0.099 0.640 0.635
0.901 0.640 0.865
0.099 0.360 0.135
0.373 0.210 0.069
0.854 0.675 0.461
0.775 0.544 0.201
0.225 0.544 0.299
0.627 0.790 0.931
0.373 0.790 0.569
0.225 0.456 0.799
0.627 0.210 0.431
0.775 0.456 0.701
0.854 0.325 0.961
0.146 0.675 0.039
0.146 0.325 0.539
0.848 0.099 0.203
0.848 0.901 0.703
0.152 0.901 0.797
0.152 0.099 0.297
```


(3)
Here is Th4Se5Cl after structural relaxation from Alexandria via LeMat-Bulk. Energies are from PBE.

## Properties
Calculated total energy (eV/atom): -6.41
Formation energy (no corrections) (kcal/mol of atoms): -34.932
Symmetry: C2/m, No. 12
Total magnetic moment (μB/f.u.): 0.0

POSCAR file:
```
Th4Se5Cl
1.0
4.214 0.000 0.000
0.000 8.044 -0.498
-2.107 -1.658 8.902
Th Se Cl
4 5 1
direct
0.662 0.093 0.324
0.001 0.758 0.003
0.338 0.907 0.676
0.999 0.242 0.997
0.171 0.833 0.343
0.829 0.167 0.657
0.836 0.659 0.671
0.500 0.500 0.000
0.164 0.341 0.329
0.500 0.000 0.000
```


(4)
Here is Th2Se2Cl after structural relaxation from Alexandria via LeMat-Bulk. Energies are from PBE.

## Properties
Calculated total energy (eV/atom): -6.30
Formation energy (no corrections) (kcal/mol of atoms): -36.191
Symmetry: Immm, No. 71
Total magnetic moment (μB/f.u.): 0.0

POSCAR file:
```
Th2Se2Cl
1.0
4.050 0.000 0.000
0.000 5.807 0.000
-2.025 -2.903 6.114
Th Cl Se
2 1 2
direct
0.328 0.828 0.657
0.672 0.172 0.343
0.000 0.000 0.000
0.651 0.651 0.303
0.349 0.349 0.697
```